TlTeBr2 | PBE-GGA | relaxed

abc: 5.7196 5.7196 3.6430
angles: 90.00 90.00 90.00
Last column: nearest neighbours and their distance in Å.
Space group P4/mmm (No. 123)
One atom of each set of equivalent atoms:
Tl  0.0000  0.0000  0.0000 [1 per cell]  8 Br 3.39, 2 Tl 3.64
Te  0.5000  0.5000  0.0000 [1 per cell]  8 Br 3.39, 2 Te 3.64
Br  0.0000  0.5000  0.5000 [2 per cell]  4 Tl 3.39, 4 Te 3.39, 2 Br 3.64

Calculated values
Excess energy over the best structure of this formula in the dataset   0.625 eV per formula unit
Formation energy from raw total energies   -154 meV/atom

Ce2AlRe | PBE-GGA | relaxed

abc: 4.4883 4.4883 4.2079
angles: 90.00 90.00 90.00
Last column: nearest neighbours and their distance in Å.
Space group P4/mmm (No. 123)
One atom of each set of equivalent atoms:
Ce  0.0000  0.5000  0.0000 [2 per cell]  4 Re 3.08, 4 Al 3.08, 4 Ce 3.17
Al  0.0000  0.0000  0.5000 [1 per cell]  8 Ce 3.08, 4 Re 3.17
Re  0.5000  0.5000  0.5000 [1 per cell]  8 Ce 3.08, 4 Al 3.17

Calculated values
Excess energy over the best structure of this formula in the dataset   0.051 eV per formula unit
Calculated formation energy   -0.028 eV/atom

HoTcGe2Rh | PBE-GGA | relaxed

abc: 4.2766 4.2766 9.9001
angles: 90.00 90.00 90.00
Last column: nearest neighbours and their distance in Å.
Space group I-4m2 (No. 119)
One atom of each set of equivalent atoms:
Ho  0.0000  0.0000  0.0000 [2 per cell]  4 Tc 3.27, 4 Rh 3.27, 8 Ge 3.28
Tc  0.0000  0.5000  0.2500 [2 per cell]  4 Ge 2.45
Ge  0.0000  0.0000  0.3717 [4 per cell]  2 Tc 2.45, 2 Rh 2.45, 1 Ge 2.54
Rh  0.0000  0.5000  0.7500 [2 per cell]  4 Ge 2.45

Calculated values
Calculated formation energy   -0.664 eV/atom

ErPuTh2 | PBE-GGA | relaxed

abc: 7.8417 7.8417 7.8417
angles: 90.00 90.00 90.00
Last column: nearest neighbours and their distance in Å.
Space group Fm-3m (No. 225)
One atom of each set of equivalent atoms:
Er  0.0000  0.0000  0.0000 [4 per cell]  8 Th 3.40
Pu  0.0000  0.0000  0.5000 [4 per cell]  8 Th 3.40
Th  0.2500  0.2500  0.2500 [8 per cell]  4 Er 3.40, 4 Pu 3.40

Calculated values
Excess energy over the best structure of this formula in the dataset   0.338 eV per formula unit
Calculated formation energy   0.173 eV/atom

K2TeI4 | PBE-GGA | relaxed

abc: 6.4102 6.4102 17.1981
angles: 90.00 90.00 90.00
Last column: nearest neighbours and their distance in Å.
Space group I4/mmm (No. 139)
One atom of each set of equivalent atoms:
K  0.0000  0.0000  0.1232 [4 per cell]  5 I 3.51-3.84
Te  0.0000  0.0000  0.5000 [2 per cell]  6 I 2.97-3.21
I  0.0000  0.0000  0.3273 [4 per cell]  1 Te 2.97
I  0.0000  0.5000  0.0000 [4 per cell]  2 Te 3.21

Calculated values
Excess energy over the best structure of this formula in the dataset   0.644 eV per formula unit
Formation energy from raw total energies   -785 meV/atom